[1]
A plane-wave DFT calculation with PBE was carried out for a relaxed Rb2CrReI6 crystal.

a b c (Å): 8.1314 8.1314 8.1314
angles (deg): 119.91 119.91 90.16
Sites, in units of the cell vectors:
Rb 0.2500 0.7500 0.5000
Rb 0.7500 0.2500 0.5000
Cr 0.0000 0.0000 0.0000
Re 0.5000 0.5000 0.0000
I 0.2557 0.2557 0.0000
I 0.2563 0.2563 0.5125
I 0.2563 0.7437 0.0000
I 0.7437 0.2563 0.0000
I 0.7443 0.7443 0.0000
I 0.7437 0.7437 0.4875

DOS(E_F): 0.569 states/eV per atom
energy: -3.7187 eV per atom
formation energy from raw total energies: -0.388 eV/atom
SG: I4/mmm (139)

[2]
A plane-wave DFT calculation with PBE was carried out for a relaxed Tb3TmSc3S8 crystal.

a b c (Å): 7.6531 7.6531 7.6531
angles (deg): 59.31 59.31 59.31
Sites, in units of the cell vectors:
Tb 0.0000 0.5000 0.5000
Tb 0.5000 0.0000 0.5000
Tb 0.5000 0.5000 0.0000
Tm 0.5000 0.5000 0.5000
Sc 0.0000 0.0000 0.5000
Sc 0.0000 0.5000 0.0000
Sc 0.5000 0.0000 0.0000
S 0.2367 0.7516 0.7516
S 0.2442 0.2442 0.2442
S 0.2484 0.2484 0.7633
S 0.2484 0.7633 0.2484
S 0.7516 0.2367 0.7516
S 0.7516 0.7516 0.2367
S 0.7558 0.7558 0.7558
S 0.7633 0.2484 0.2484

DOS(E_F): 0.455 states/eV per atom
energy: -6.6820 eV per atom
formation energy from raw total energies: -1.990 eV/atom
SG: R-3m (166)

[3]
A plane-wave DFT calculation with PBE was carried out for a relaxed CeZnCdAg crystal.

a b c (Å): 4.9696 4.9696 4.9696
angles (deg): 60.00 60.00 60.00
Sites, in units of the cell vectors:
Ce 0.0000 0.0000 0.0000
Zn 0.7500 0.7500 0.7500
Cd 0.5000 0.5000 0.5000
Ag 0.2500 0.2500 0.2500

DFT formation energy: -0.868 eV/f.u.
DOS(E_F): 1.427 states/eV per atom
energy: -2.9604 eV per atom
SG: F-43m (216)